(1)
Y4Zr2Ni3C3 after structural relaxation. Source: OQMD via LeMat-Bulk, functional GGA-PBE.

The calculation puts the calculated total energy at -357.76 eV per cell. For the calculated volume, the calculation gives 872.65 Å³/cell. As for the crystal system: monoclinic.

The structure belongs to space group C2/c (No. 15); the cell edges are 10.382, 6.004 and 14.370 Å and the angles 90.00°, 103.02° and 90.00°. The distinct sites, in fractional coordinates, are Y at (0.115, 0.076, 0.099), Y at (0.216, 0.086, 0.401), Zr at (0.057, 0.415, 0.908), Ni at (0.000, 0.084, 0.250), Ni at (0.239, 0.341, 0.249), C at (0.073, 0.280, 0.500) and C at (0.250, 0.250, 0.000).

(2)
Zr4ZnNiC2 after structural relaxation. Source: OQMD via LeMat-Bulk, functional GGA-PBE.

The calculation puts the calculated total energy at -63.32 eV per cell. For the calculated volume, the calculation gives 130.90 Å³/cell. As for the crystal system: hexagonal.

The structure belongs to space group P-6m2 (No. 187); the cell edges are 3.3230, 3.3230 and 13.6876 Å and the angles 90.00°, 90.00° and 120.00°. The distinct sites, in fractional coordinates, are Zr at (0.0000, 0.0000, 0.1409), Zr at (0.3333, 0.6667, 0.3313), Zn at (0.0000, 0.0000, 0.5000), Ni at (0.3333, 0.6667, 0.0000) and C at (0.6667, 0.3333, 0.2393).

(3)
Zr3NiC2 after structural relaxation. Source: OQMD via LeMat-Bulk, functional GGA-PBE.

The calculation puts the calculated total energy at -106.62 eV per cell. For the calculated volume, the calculation gives 176.74 Å³/cell. As for the crystal system: hexagonal.

The structure belongs to space group P6_3/mmc (No. 194); the cell edges are 3.3448, 3.3448 and 18.2414 Å and the angles 90.00°, 90.00° and 120.00°. The distinct sites, in fractional coordinates, are Zr at (0.0000, 0.0000, 0.0000), Zr at (0.3333, 0.6667, 0.1448), Ni at (0.0000, 0.0000, 0.2500) and C at (0.3333, 0.6667, 0.5771).

(4)
Zr3NiC after structural relaxation. Source: OQMD via LeMat-Bulk, functional GGA-PBE.

The relative energy among the computed polymorphs comes out at 0 meV/atom. The calculation puts the calculated total energy at -172.47 eV per cell. For the calculated volume, the calculation gives 338.85 Å³/cell. As for the crystal system: orthorhombic.

The structure belongs to space group Cmcm (No. 63); the cell edges are 3.346, 11.332 and 8.936 Å and the angles 90.00°, 90.00° and 90.00°. The distinct sites, in fractional coordinates, are Zr at (0.000, 0.067, 0.250), Zr at (0.000, 0.369, 0.064), Ni at (0.000, 0.250, 0.750) and C at (0.000, 0.000, 0.000).